The following is a DFT calculation (PBE-GGA) of an optimized crystal structure of Ac2PmPrSm2.

The structure in extended XYZ format:
```
12
Lattice="5.975 0.000 0.000 0.000 7.400 0.000 0.000 0.000 10.257" Properties=species:S:1:pos:R:3 pbc="T T T"
Ac 2.987 0.057 10.254
Ac 0.000 1.906 1.759
Ac 2.987 3.757 0.003
Ac 0.000 5.606 8.498
Pm 0.000 0.056 5.130
Pm 0.000 3.756 5.127
Pr 2.987 1.907 6.827
Pr 2.987 5.607 3.430
Sm 0.000 1.908 8.458
Sm 2.987 1.904 3.536
Sm 0.000 5.609 1.799
Sm 2.987 5.605 6.721
```

## Properties
The total DFT energy (no corrections) comes out at -26.727 eV per formula unit. The value obtained for the size of the total moment is 0.000 μB per cell. Its symmetry is Pmma (51). The calculation puts the density of states at the Fermi level at 1.55 states/eV/atom.

=====

The following is a DFT calculation (PBE-GGA) of an optimized crystal structure of HfPaTcMo.

The structure in extended XYZ format:
```
4
Lattice="-4.090 -1.859 -1.581 -3.242 -1.602 3.099 -4.086 2.370 0.610" Properties=species:S:1:pos:R:3 pbc="T T T"
Mo 0.000 0.000 0.000
Pa -8.564 -0.818 1.596
Hf -2.855 -0.273 0.532
Tc -5.709 -0.545 1.064
```

## Properties
The total DFT energy (no corrections) comes out at -41.505 eV per formula unit. The value obtained for the size of the total moment is 0.000 μB per cell. Its symmetry is F-43m (216). The calculation puts the density of states at the Fermi level at 0.93 states/eV/atom.

=====

The following is a DFT calculation (PBE-GGA) of an optimized crystal structure of YMnSi2.

The structure in extended XYZ format:
```
4
Lattice="-4.230 4.067 0.354 -5.819 0.796 0.258 -1.085 0.418 3.723" Properties=species:S:1:pos:R:3 pbc="T T T"
Mn -8.577 4.073 3.173
Si -9.380 4.531 0.844
Si -2.942 1.399 1.029
Y -5.852 2.782 2.069
```

## Properties
The total DFT energy (no corrections) comes out at -27.514 eV per formula unit. The value obtained for the size of the total moment is 3.739 μB per cell. The value obtained for the uncorrected formation energy is -25.0 kJ per mole of atoms. Its symmetry is Imm2 (44). The calculation puts the density of states at the Fermi level at 0.59 states/eV/atom.